# 1
Compound: LiTmPa2Se5
Source: Alexandria
Functional: PBE
Structure: relaxed

Output
Total DFT energy (no corrections) = -6.1301 eV/atom

a b c (Å): 3.945 8.722 12.433
angles (deg): 90.00 90.00 103.07
Each line ends with the local moment (μB).
Element x y z (fractional)
Se 0.048 0.097 0.077  -0.02
Se 0.310 0.621 0.342  -0.02
Se 0.952 0.903 0.577  -0.02
Se 0.286 0.571 0.663  -0.02
Se 0.501 0.002 0.284  -0.03
Se 0.690 0.379 0.842  -0.02
Se 0.364 0.727 0.997  -0.03
Se 0.636 0.273 0.497  -0.03
Se 0.499 0.998 0.784  -0.03
Se 0.714 0.429 0.163  -0.02
Pa 0.108 0.216 0.680  1.35
Pa 0.892 0.784 0.180  1.35
Pa 0.870 0.741 0.801  1.34
Pa 0.130 0.259 0.301  1.34
Tm 0.198 0.397 0.002  0.09
Tm 0.802 0.603 0.502  0.09
Li 0.515 0.031 0.978  0.00
Li 0.485 0.969 0.478  0.00

***

# 2
Compound: LiTmPa2Se4
Source: Alexandria
Functional: PBE
Structure: relaxed

Output
Total DFT energy (no corrections) = -6.2906 eV/atom

a b c (Å): 3.849 6.642 7.481
angles (deg): 107.16 90.00 90.00
Each line ends with the local moment (μB).
Element x y z (fractional)
Se 0.000 0.753 0.232  -0.01
Se 0.500 0.237 0.230  -0.01
Se 0.000 0.247 0.768  -0.01
Se 0.500 0.763 0.770  -0.01
Li 0.000 0.000 0.000  0.00
Pa 0.500 0.000 0.500  0.82
Pa 0.000 0.500 0.500  1.04
Tm 0.500 0.500 0.000  -0.01

***

# 3
Compound: LiTm2PaSe4
Source: Alexandria
Functional: PBE
Structure: relaxed

Output
Total DFT energy (no corrections) = -5.8107 eV/atom

a b c (Å): 3.970 6.917 7.062
angles (deg): 71.18 90.00 90.00
Each line ends with the local moment (μB).
Element x y z (fractional)
Li 0.000 0.500 0.500  0.00
Tm 0.000 0.000 0.000  0.04
Tm 0.500 0.000 0.500  -0.01
Se 0.000 0.249 0.261  -0.01
Se 0.500 0.748 0.257  -0.01
Se 0.500 0.252 0.743  -0.01
Se 0.000 0.751 0.739  -0.01
Pa 0.500 0.500 0.000  0.90

***

# 4
Compound: Li2TmPaSe4
Source: Alexandria
Functional: PBE
Structure: relaxed

Output
Total DFT energy (no corrections) = -5.4223 eV/atom

a b c (Å): 3.971 7.004 6.974
angles (deg): 109.15 90.00 90.00
Each line ends with the local moment (μB).
Element x y z (fractional)
Se 0.000 0.761 0.262  -0.02
Se 0.500 0.752 0.746  -0.01
Se 0.000 0.239 0.738  -0.02
Se 0.500 0.248 0.254  -0.01
Li 0.000 0.500 0.500  0.00
Li 0.500 0.000 0.500  0.00
Tm 0.000 0.000 0.000  0.14
Pa 0.500 0.500 0.000  1.34

***

# 5
Compound: Li2U2PaSe6
Source: Alexandria
Functional: PBE
Structure: relaxed

Output
Total DFT energy (no corrections) = -6.3900 eV/atom

a b c (Å): 7.014 7.014 6.991
angles (deg): 99.62 99.62 119.88
Each line ends with the local moment (μB).
Element x y z (fractional)
Li 0.168 0.832 0.000  0.00
Li 0.832 0.168 0.000  0.00
Se 0.242 0.242 0.241  -0.05
Se 0.758 0.758 0.759  -0.05
Se 0.919 0.584 0.247  -0.05
Se 0.081 0.416 0.753  -0.05
Se 0.416 0.081 0.753  -0.05
Se 0.584 0.919 0.247  -0.05
Pa 0.000 0.000 0.500  1.16
U 0.664 0.336 0.500  2.58
U 0.336 0.664 0.500  2.58

***

# 6
Compound: Li3UPa2Se6
Source: Alexandria
Functional: PBE
Structure: relaxed

Output
Total DFT energy (no corrections) = -5.9912 eV/atom

a b c (Å): 3.978 8.162 9.078
angles (deg): 104.86 102.66 90.00
Each line ends with the local moment (μB).
Element x y z (fractional)
Se 0.997 0.258 0.994  -0.04
Se 0.336 0.410 0.671  -0.02
Se 0.670 0.074 0.341  -0.03
Se 0.003 0.742 0.006  -0.04
Se 0.664 0.590 0.329  -0.02
Se 0.330 0.926 0.659  -0.03
Li 0.166 0.833 0.331  0.00
Li 0.834 0.167 0.669  0.00
Li 0.500 0.500 0.000  0.00
Pa 0.835 0.670 0.669  1.41
Pa 0.165 0.330 0.331  1.41
U 0.500 0.000 0.000  2.74

***

# 7
Compound: Li4UPa3Se8
Source: Alexandria
Functional: PBE
Structure: relaxed

Output
Total DFT energy (no corrections) = -5.9615 eV/atom

a b c (Å): 7.959 8.165 7.959
angles (deg): 119.18 120.00 90.00
Each line ends with the local moment (μB).
Element x y z (fractional)
Se 0.755 0.766 0.511  -0.02
Se 0.754 0.764 0.009  -0.03
Se 0.745 0.236 0.490  -0.03
Se 0.255 0.764 0.009  -0.03
Se 0.255 0.764 0.510  -0.03
Se 0.245 0.234 0.489  -0.02
Se 0.745 0.236 0.991  -0.03
Se 0.246 0.236 0.991  -0.03
U 0.000 0.500 0.000  2.75
Li 0.500 0.000 0.000  0.00
Li 0.000 0.000 0.000  0.00
Li 0.000 0.000 0.500  0.00
Li 0.500 0.000 0.500  0.00
Pa 0.000 0.500 0.500  1.42
Pa 0.500 0.500 0.500  1.42
Pa 0.500 0.500 0.000  1.42

***

# 8
Compound: LiU2PaSe4
Source: Alexandria
Functional: PBE
Structure: relaxed

Output
Total DFT energy (no corrections) = -7.1279 eV/atom

a b c (Å): 3.982 7.001 7.046
angles (deg): 108.68 90.00 90.00
Each line ends with the local moment (μB).
Element x y z (fractional)
Se 0.000 0.263 0.764  -0.04
Se 0.000 0.737 0.236  -0.04
Se 0.500 0.260 0.242  -0.04
Se 0.500 0.740 0.758  -0.04
Li 0.500 0.500 0.000  0.00
Pa 0.000 0.000 0.000  0.65
U 0.500 0.000 0.500  2.65
U 0.000 0.500 0.500  2.43

***

Among the records above, which one has the lowest total DFT energy (no corrections)? LiU2PaSe4

***

The highest total DFT energy (no corrections) belongs to which entry? Li2TmPaSe4

***

Copy entry 6 word for word.
Compound: Li3UPa2Se6
Source: Alexandria
Functional: PBE
Structure: relaxed

Output
Total DFT energy (no corrections) = -5.9912 eV/atom

a b c (Å): 3.978 8.162 9.078
angles (deg): 104.86 102.66 90.00
Each line ends with the local moment (μB).
Element x y z (fractional)
Se 0.997 0.258 0.994  -0.04
Se 0.336 0.410 0.671  -0.02
Se 0.670 0.074 0.341  -0.03
Se 0.003 0.742 0.006  -0.04
Se 0.664 0.590 0.329  -0.02
Se 0.330 0.926 0.659  -0.03
Li 0.166 0.833 0.331  0.00
Li 0.834 0.167 0.669  0.00
Li 0.500 0.500 0.000  0.00
Pa 0.835 0.670 0.669  1.41
Pa 0.165 0.330 0.331  1.41
U 0.500 0.000 0.000  2.74

***

The lowest total DFT energy (no corrections) belongs to which entry? LiU2PaSe4